Entry from the Alexandria database: a geometry-optimized Tb7Dy12Mg structure (PBE).

The calculation puts the energy at -145.08 eV per cell. The value obtained for the density of states at the Fermi level is 1.67 states/eV per atom. Its crystal system is cubic. The calculated formation energy comes out at 16.69 eV/f.u. The distance to the lowest polymorph of the same formula comes out at 12.43 eV per formula unit. The total magnetization comes out at 0.0 Bohr magnetons per cell.

The space group is Im-3 (No. 204) and the conventional cell measures 11.984, 11.984 and 11.984 Å, with angles of 90.00, 90.00 and 90.00 degrees. The asymmetric unit holds Tb at (0.000, 0.000, 0.500), Tb at (0.250, 0.250, 0.250), Dy at (0.000, 0.262, 0.358) and Mg at (0.000, 0.000, 0.000).